Li2MnO2F: optimized geometry, PBE with a Hubbard U.

Cell lengths 5.1673, 5.1595, 5.1595 Å; angles 119.79, 100.19, 100.19 degrees
Site moments in Bohr magnetons follow the coordinates.
Sites, in units of the cell vectors:
O1 0.9909 0.9933 0.4709  0.01
O2 0.5040 0.8445 0.7136  -0.06
O3 0.0040 0.7136 0.8445  -0.06
O4 0.4909 0.4709 0.9933  0.01
Mn1 0.7507 0.8804 0.0768  3.93
Mn2 0.2507 0.0768 0.8804  3.93
F1 0.0269 0.3357 0.1548  0.02
F2 0.5269 0.1548 0.3357  0.02
Li1 0.2324 0.4326 0.6099  0.00
Li2 0.7324 0.6099 0.4326  0.00
Li3 0.7446 0.2403 0.7455  0.00
Li4 0.2446 0.7455 0.2403  0.00

For the distance to the lowest polymorph of the same formula, the calculation gives 71 meV per atom. Its calculated density is 3562 kg/m³. The uncorrected energy is -71.29 eV for the cell shown.